[1]
## Pu6PdRh2 (PBE-GGA)

Data for a geometry-optimized Pu6PdRh2 structure.

a b c (Å): 7.5517 7.5517 4.3288
angles (deg): 90.00 90.00 120.00
Closest atoms and distances in Å follow each position.
Space group P-62m (No. 189)
Symmetry-distinct sites (fractional):
Pu1 0.0000 0.4143 0.0000 x3  1 Pd 3.13, 4 Rh 3.14, 6 Pu 3.24-3.50
Pu2 0.0000 0.7337 0.5000 x3  2 Rh 2.81, 2 Pd 2.95
Pd1 0.0000 0.0000 0.0000 x1  9 Pu 2.95-3.13
Rh1 0.3333 0.6667 0.5000 x2  9 Pu 2.81-3.14

Properties
Excess energy over the best structure of this formula in the dataset   0 meV/atom
Crystal system   hexagonal

=====

[2]
## Pu3Pd2Rh3 (PBE-GGA)

Data for a geometry-optimized Pu3Pd2Rh3 structure.

a b c (Å): 7.9879 7.9879 5.6424
angles (deg): 90.00 90.00 120.00
Closest atoms and distances in Å follow each position.
Space group P6_3/mcm (No. 193)
Symmetry-distinct sites (fractional):
Pu1 0.0000 0.2778 0.2500 x6  5 Rh 2.72-2.94
Pd1 0.3333 0.6667 0.0000 x4  2 Pd 2.82, 6 Rh 2.87
Rh1 0.0000 0.3801 0.7500 x6  5 Pu 2.72-2.94, 4 Pd 2.87

Properties
Crystal system   hexagonal

=====

[3]
## Pu5Pd3Rh (PBE-GGA)

Data for a geometry-optimized Pu5Pd3Rh structure.

a b c (Å): 9.3546 9.3546 4.9460
angles (deg): 90.00 90.00 120.00
Closest atoms and distances in Å follow each position.
Space group P6_3/mcm (No. 193)
Symmetry-distinct sites (fractional):
Pu1 0.0000 0.2710 0.2500 x6  3 Pd 2.80-2.98, 2 Rh 2.82
Pu2 0.3333 0.6667 0.0000 x4  2 Pu 2.47
Pd1 0.0000 0.4109 0.7500 x6  7 Pu 2.80-3.08, 2 Pd 2.98
Rh1 0.0000 0.0000 0.0000 x2  2 Rh 2.47

Properties
Crystal system   hexagonal

=====

[4]
## Pu7PdRh5 (PBE-GGA)

Data for a geometry-optimized Pu7PdRh5 structure.

a b c (Å): 5.7022 10.1226 9.5106
angles (deg): 90.00 90.00 90.00
Closest atoms and distances in Å follow each position.
Space group Imm2 (No. 44)
Symmetry-distinct sites (fractional):
Pu1 0.0000 0.0000 0.0000 x2  1 Pd 2.86, 4 Rh 3.01
Pu2 0.0000 0.0000 0.3896 x2  6 Rh 2.85-2.97, 1 Pd 2.95
Pu3 0.0000 0.3127 0.6460 x4  5 Rh 2.84-2.93
Pu4 0.0000 0.3474 0.1242 x4  1 Pu 2.52, 3 Rh 2.79-2.80
Pu5 0.0000 0.5000 0.3336 x2  2 Pu 2.52
Pd1 0.0000 0.0000 0.6994 x2  4 Pu 2.86-3.12
Rh1 0.0000 0.5000 0.8803 x2  6 Pu 2.79-2.93, 4 Rh 2.96
Rh2 0.2471 0.2437 0.8949 x8  7 Pu 2.80-3.09, 3 Rh 2.82-2.96

Properties
Crystal system   orthorhombic

=====

Number 1: E_form -2.2 eV/f.u., calculated volume 23.754 Å³ per atom. Number 2: E_form -3.4 eV/f.u., calculated volume 19.487 Å³ per atom. Number 3: E_form 0.1 eV/f.u., calculated volume 20.824 Å³ per atom. Number 4: E_form -3.7 eV/f.u., calculated volume 21.114 Å³ per atom.